AcBrF4: optimized geometry, PBE-GGA.

It has space group C2/c (No. 15), with a = 8.2186 Å, b = 11.6138 Å, c = 6.3321 Å, α = 90.00°, β = 125.51° and γ = 90.00°. Symmetry generates all atoms from Ac at (0.0000, 0.1094, 0.2500), Br at (0.0000, 0.3011, 0.7500), F at (0.1443, 0.2949, 0.5790) and F at (0.1819, 0.0320, 0.6872).

Its magnetization is 0.0 μB per formula unit. Its uncorrected formation energy is -2.89 eV per atom.